## Ca3Bi5O12 (PBE)

Data for an optimized crystal structure of Ca3Bi5O12.

Properties
The total energy comes out at -465.15 eV for the cell shown. As for the symmetry: Ia-3d, No. 230.

Lattice parameters (Å, degrees): 12.0707 12.0707 12.0707 109.47 109.47 109.47
Last column: nearest neighbours and their distance in Å.
Atoms (fractional coordinates):
Ca1 0.1250 0.2500 0.3750  8 O 2.62-2.67
Ca2 0.1250 0.3750 0.7500  8 O 2.62-2.67
Ca3 0.2500 0.3750 0.1250  8 O 2.62-2.67
Ca4 0.2500 0.8750 0.6250  8 O 2.62-2.67
Ca5 0.3750 0.1250 0.2500  8 O 2.62-2.67
Ca6 0.3750 0.7500 0.1250  8 O 2.62-2.67
Ca7 0.6250 0.2500 0.8750  8 O 2.62-2.67
Ca8 0.6250 0.8750 0.7500  8 O 2.62-2.67
Ca9 0.7500 0.1250 0.3750  8 O 2.62-2.67
Ca10 0.7500 0.6250 0.8750  8 O 2.62-2.67
Ca11 0.8750 0.6250 0.2500  8 O 2.62-2.67
Ca12 0.8750 0.7500 0.6250  8 O 2.62-2.67
Bi1 0.0000 0.0000 0.0000  6 O 2.28
Bi2 0.0000 0.0000 0.5000  6 O 2.28
Bi3 0.0000 0.5000 0.0000  6 O 2.28
Bi4 0.0000 0.5000 0.5000  6 O 2.28
Bi5 0.1250 0.7500 0.8750  4 O 2.18
Bi6 0.1250 0.8750 0.2500  4 O 2.18
Bi7 0.2500 0.1250 0.8750  4 O 2.18
Bi8 0.2500 0.6250 0.3750  4 O 2.18
Bi9 0.3750 0.2500 0.6250  4 O 2.18
Bi10 0.3750 0.6250 0.7500  4 O 2.18
Bi11 0.5000 0.0000 0.0000  6 O 2.28
Bi12 0.5000 0.0000 0.5000  6 O 2.28
Bi13 0.5000 0.5000 0.0000  6 O 2.28
Bi14 0.5000 0.5000 0.5000  6 O 2.28
Bi15 0.6250 0.3750 0.2500  4 O 2.18
Bi16 0.6250 0.7500 0.3750  4 O 2.18
Bi17 0.7500 0.3750 0.6250  4 O 2.18
Bi18 0.7500 0.8750 0.1250  4 O 2.18
Bi19 0.8750 0.1250 0.7500  4 O 2.18
Bi20 0.8750 0.2500 0.1250  4 O 2.18
O1 0.0395 0.2115 0.1283  2 Bi 2.18-2.28
O2 0.0395 0.3280 0.9112  2 Bi 2.18-2.28
O3 0.0833 0.7115 0.6720  2 Bi 2.18-2.28
O4 0.0833 0.8717 0.4112  2 Bi 2.18-2.28
O5 0.0888 0.6283 0.4167  2 Bi 2.18-2.28
O6 0.0888 0.9605 0.6720  2 Bi 2.18-2.28
O7 0.1283 0.0395 0.2115  2 Bi 2.18-2.28
O8 0.1283 0.5888 0.9167  2 Bi 2.18-2.28
O9 0.1720 0.2115 0.5833  2 Bi 2.18-2.28
O10 0.1720 0.4605 0.5888  2 Bi 2.18-2.28
O11 0.2115 0.1283 0.0395  2 Bi 2.18-2.28
O12 0.2115 0.5833 0.1720  2 Bi 2.18-2.28
O13 0.2885 0.3280 0.9167  2 Bi 2.18-2.28
O14 0.2885 0.4605 0.3717  2 Bi 2.18-2.28
O15 0.3280 0.9112 0.0395  2 Bi 2.18-2.28
O16 0.3280 0.9167 0.2885  2 Bi 2.18-2.28
O17 0.3717 0.2885 0.4605  2 Bi 2.18-2.28
O18 0.3717 0.5833 0.9112  2 Bi 2.18-2.28
O19 0.4112 0.0833 0.8717  2 Bi 2.18-2.28
O20 0.4112 0.8280 0.5395  2 Bi 2.18-2.28
O21 0.4167 0.0888 0.6283  2 Bi 2.18-2.28
O22 0.4167 0.8280 0.7885  2 Bi 2.18-2.28
O23 0.4605 0.3717 0.2885  2 Bi 2.18-2.28
O24 0.4605 0.5888 0.1720  2 Bi 2.18-2.28
O25 0.5395 0.4112 0.8280  2 Bi 2.18-2.28
O26 0.5395 0.6283 0.7115  2 Bi 2.18-2.28
O27 0.5833 0.1720 0.2115  2 Bi 2.18-2.28
O28 0.5833 0.9112 0.3717  2 Bi 2.18-2.28
O29 0.5888 0.1720 0.4605  2 Bi 2.18-2.28
O30 0.5888 0.9167 0.1283  2 Bi 2.18-2.28
O31 0.6283 0.4167 0.0888  2 Bi 2.18-2.28
O32 0.6283 0.7115 0.5395  2 Bi 2.18-2.28
O33 0.6720 0.0833 0.7115  2 Bi 2.18-2.28
O34 0.6720 0.0888 0.9605  2 Bi 2.18-2.28
O35 0.7115 0.5395 0.6283  2 Bi 2.18-2.28
O36 0.7115 0.6720 0.0833  2 Bi 2.18-2.28
O37 0.7885 0.4167 0.8280  2 Bi 2.18-2.28
O38 0.7885 0.8717 0.9605  2 Bi 2.18-2.28
O39 0.8280 0.5395 0.4112  2 Bi 2.18-2.28
O40 0.8280 0.7885 0.4167  2 Bi 2.18-2.28
O41 0.8717 0.4112 0.0833  2 Bi 2.18-2.28
O42 0.8717 0.9605 0.7885  2 Bi 2.18-2.28
O43 0.9112 0.0395 0.3280  2 Bi 2.18-2.28
O44 0.9112 0.3717 0.5833  2 Bi 2.18-2.28
O45 0.9167 0.1283 0.5888  2 Bi 2.18-2.28
O46 0.9167 0.2885 0.3280  2 Bi 2.18-2.28
O47 0.9605 0.6720 0.0888  2 Bi 2.18-2.28
O48 0.9605 0.7885 0.8717  2 Bi 2.18-2.28